#1
# YTl2W

A PBEsol-optimized structure of YTl2W (SCAN, Alexandria).

abc: 3.145 3.145 9.542
angles: 90.00 90.00 105.76
Positions (direct):
Y 0.000 0.000 0.000
Tl 0.000 0.000 0.545
Tl 0.500 0.500 0.279
W 0.500 0.500 0.773

The space-group type is No. 35.


#2
# YTl2W

A PBEsol-optimized structure of YTl2W (SCAN, Alexandria).

abc: 4.387 4.387 4.457
angles: 90.00 90.00 90.00
Positions (direct):
Y 0.000 0.000 0.000
Tl 0.000 0.500 0.500
Tl 0.500 0.000 0.500
W 0.500 0.500 0.000

The space-group type is No. 123.


Stability, lowest: #1


#1
# TlZnW2

A PBEsol-optimized structure of TlZnW2 (SCAN, Alexandria).

abc: 2.785 4.245 5.733
angles: 90.00 90.00 90.00
Positions (direct):
Tl 0.000 0.000 0.000
Zn 0.000 0.000 0.500
W 0.500 0.500 0.283
W 0.500 0.500 0.717

The space-group type is No. 47.


#2
# TlZnW2

A PBEsol-optimized structure of TlZnW2 (SCAN, Alexandria).

abc: 3.313 3.313 6.212
angles: 90.00 90.00 90.00
Positions (direct):
Tl 0.000 0.000 0.000
Zn 0.500 0.500 0.741
W 0.000 0.000 0.507
W 0.500 0.500 0.307

The space-group type is No. 99.


Stability, lowest: #1


#1
# TlZnW2

A PBEsol-optimized structure of TlZnW2 (SCAN, Alexandria).

abc: 2.825 4.285 5.753
angles: 90.00 102.19 90.00
Positions (direct):
Tl 0.000 0.000 0.000
Zn 0.078 0.500 0.728
W 0.424 0.000 0.509
W 0.612 0.500 0.285

The space-group type is No. 6.


#2
# TlZnW2

A PBEsol-optimized structure of TlZnW2 (SCAN, Alexandria).

abc: 5.041 5.041 4.579
angles: 104.99 104.99 36.51
Positions (direct):
Tl 0.000 0.000 0.000
Zn 0.500 0.500 0.500
W 0.245 0.245 0.735
W 0.755 0.755 0.265

The space-group type is No. 12.


#3
# TlZnW2

A PBEsol-optimized structure of TlZnW2 (SCAN, Alexandria).

abc: 4.888 4.888 4.888
angles: 130.47 130.47 72.66
Positions (direct):
Tl 0.000 0.000 0.000
Zn 0.250 0.750 0.500
W 0.500 0.500 0.000
W 0.750 0.250 0.500

The space-group type is No. 119.


Stability, lowest: #3


#1
# ZrTlW2

A PBEsol-optimized structure of ZrTlW2 (SCAN, Alexandria).

abc: 2.890 2.890 9.420
angles: 90.00 90.00 110.62
Positions (direct):
Zr 0.000 0.000 0.000
Tl 0.000 0.000 0.500
W 0.500 0.500 0.246
W 0.500 0.500 0.754

The space-group type is No. 65.


#2
# ZrTlW2

A PBEsol-optimized structure of ZrTlW2 (SCAN, Alexandria).

abc: 4.891 4.891 4.891
angles: 126.92 126.92 78.38
Positions (direct):
Zr 0.000 0.000 0.000
Tl 0.750 0.250 0.500
W 0.250 0.750 0.500
W 0.500 0.500 0.000

The space-group type is No. 119.


#3
# ZrTlW2

A PBEsol-optimized structure of ZrTlW2 (SCAN, Alexandria).

abc: 5.091 5.091 5.300
angles: 96.65 96.65 32.55
Positions (direct):
Zr 0.000 0.000 0.000
Tl 0.248 0.248 0.750
W 0.502 0.502 0.482
W 0.753 0.753 0.263

The space-group type is No. 8.


Stability, lowest: #1


#1
# ZrTl2W

A PBEsol-optimized structure of ZrTl2W (SCAN, Alexandria).

abc: 4.235 4.235 4.463
angles: 90.00 90.00 90.00
Positions (direct):
Zr 0.000 0.000 0.000
Tl 0.000 0.500 0.500
Tl 0.500 0.000 0.500
W 0.500 0.500 0.000

The space-group type is No. 123.


#2
# ZrTl2W

A PBEsol-optimized structure of ZrTl2W (SCAN, Alexandria).

abc: 5.516 5.516 5.516
angles: 140.87 129.21 65.93
Positions (direct):
Zr 0.000 0.000 0.000
Tl 0.257 0.757 0.500
Tl 0.743 0.243 0.500
W 0.500 0.500 0.000

The space-group type is No. 71.


Stability, lowest: #1


#1
# YTl4

A PBEsol-optimized structure of YTl4 (SCAN, Alexandria).

abc: 6.063 6.063 6.063
angles: 109.47 109.47 109.47
Positions (direct):
Y 0.000 0.000 0.000
Tl 0.000 0.000 0.500
Tl 0.000 0.500 0.000
Tl 0.500 0.000 0.000
Tl 0.500 0.500 0.500

The space-group type is No. 229.


#2
# YTl4

A PBEsol-optimized structure of YTl4 (SCAN, Alexandria).

abc: 5.883 5.883 5.883
angles: 98.13 98.13 135.82
Positions (direct):
Y 0.000 0.000 0.000
Tl 0.198 0.601 0.798
Tl 0.399 0.198 0.597
Tl 0.601 0.802 0.403
Tl 0.802 0.399 0.202

The space-group type is No. 87.


Stability, lowest: #1


#1
# Y5Tl

A PBEsol-optimized structure of Y5Tl (SCAN, Alexandria).

abc: 5.436 9.140 9.140
angles: 22.53 90.00 90.00
Positions (direct):
Y 0.000 0.000 0.000
Y 0.000 0.324 0.324
Y 0.000 0.658 0.658
Y 0.500 0.207 0.207
Y 0.500 0.879 0.879
Tl 0.500 0.548 0.548

The space-group type is No. 38.


#2
# Y5Tl

A PBEsol-optimized structure of Y5Tl (SCAN, Alexandria).

abc: 6.508 6.508 8.130
angles: 104.41 104.41 31.57
Positions (direct):
Y 0.000 0.000 0.000
Y 0.027 0.027 0.611
Y 0.387 0.387 0.269
Y 0.668 0.668 0.356
Y 0.719 0.719 0.924
Tl 0.320 0.320 0.665

The space-group type is No. 8.


#3
# Y5Tl

A PBEsol-optimized structure of Y5Tl (SCAN, Alexandria).

abc: 3.539 3.539 14.034
angles: 90.00 90.00 90.00
Positions (direct):
Y 0.000 0.000 0.000
Y 0.000 0.000 0.352
Y 0.000 0.000 0.648
Y 0.500 0.500 0.175
Y 0.500 0.500 0.825
Tl 0.500 0.500 0.500

The space-group type is No. 123.


Stability, lowest: #1


#1
# Y4Tl5

A PBEsol-optimized structure of Y4Tl5 (SCAN, Alexandria).

abc: 7.620 7.620 7.620
angles: 95.04 95.04 145.52
Positions (direct):
Y 0.000 0.312 0.312
Y 0.000 0.688 0.688
Y 0.312 0.000 0.312
Y 0.688 0.000 0.688
Tl 0.000 0.000 0.000
Tl 0.329 0.329 0.657
Tl 0.329 0.671 0.000
Tl 0.671 0.329 0.000
Tl 0.671 0.671 0.343

The space-group type is No. 139.


#2
# Y4Tl5

A PBEsol-optimized structure of Y4Tl5 (SCAN, Alexandria).

abc: 9.193 9.193 6.443
angles: 90.00 90.00 120.00
Positions (direct):
Y 0.000 0.000 0.000
Y 0.000 0.000 0.500
Y 0.000 0.369 0.250
Y 0.000 0.631 0.750
Y 0.369 0.000 0.250
Y 0.369 0.369 0.750
Y 0.631 0.000 0.750
Y 0.631 0.631 0.250
Tl 0.000 0.298 0.750
Tl 0.000 0.702 0.250
Tl 0.298 0.000 0.750
Tl 0.298 0.298 0.250
Tl 0.333 0.667 0.000
Tl 0.333 0.667 0.500
Tl 0.667 0.333 0.000
Tl 0.667 0.333 0.500
Tl 0.702 0.000 0.250
Tl 0.702 0.702 0.750

The space-group type is No. 193.


Stability, lowest: #1